No. 1
Density functional theory data (PBE) for KTiFeSe3 after structural relaxation.

Formation energy (no corrections) (eV per formula unit): -5.7
Crystal system: monoclinic
Symmetry: P2_1/m

Unit cell a=3.696 b=8.763 c=9.632 alpha=114.25 beta=90.00 gamma=90.00
Site moments in Bohr magnetons follow the coordinates.
Fractional positions:
1 Ti 0.250 0.686 0.163  -0.22
2 Ti 0.750 0.314 0.837  -0.22
3 K 0.750 0.771 0.748  0.00
4 K 0.250 0.229 0.252  0.00
5 Se 0.750 0.464 0.138  0.03
6 Se 0.750 0.881 0.140  0.04
7 Se 0.250 0.536 0.862  0.03
8 Se 0.250 0.119 0.860  0.04
9 Se 0.750 0.233 0.547  0.06
10 Se 0.250 0.767 0.453  0.06
11 Fe 0.250 0.074 0.596  2.71
12 Fe 0.750 0.926 0.404  2.71

---

No. 2
Density functional theory data (PBE) for NdPuN after structural relaxation.

Formation energy (no corrections) (eV per formula unit): -0.8
Crystal system: tetragonal
Symmetry: I4mm

Unit cell a=3.191 b=3.191 c=6.616 alpha=103.95 beta=103.95 gamma=90.00
Site moments in Bohr magnetons follow the coordinates.
Fractional positions:
1 N 0.700 0.700 0.399  -0.20
2 Pu 0.271 0.271 0.542  5.13
3 Nd 0.030 0.030 0.059  0.11

---

No. 3
Density functional theory data (PBE) for Fe4HgMo2 after structural relaxation.

Crystal system: tetragonal
Symmetry: I4/mmm
ΔE_f (meV per atom): 1589

Unit cell a=4.754 b=4.754 c=7.003 alpha=70.16 beta=70.16 gamma=90.00
Site moments in Bohr magnetons follow the coordinates.
Fractional positions:
1 Mo 0.402 0.402 0.196  -0.59
2 Mo 0.598 0.598 0.804  -0.59
3 Fe 0.000 0.500 0.000  2.50
4 Fe 0.500 0.000 0.000  2.50
5 Fe 0.789 0.789 0.421  2.87
6 Fe 0.211 0.211 0.579  2.87
7 Hg 0.000 0.000 0.000  -0.01

---

No. 4
Density functional theory data (PBE) for Tm3Ga9Pd2 after structural relaxation.

Crystal system: orthorhombic
Symmetry: Immm
ΔE_f (meV per atom): -623

Unit cell a=4.268 b=8.121 c=8.121 alpha=71.58 beta=74.76 gamma=74.76
Fractional positions:
1 Tm 0.302 0.698 0.698
2 Tm 0.000 0.000 0.000
3 Tm 0.698 0.302 0.302
4 Ga 0.862 0.856 0.420
5 Ga 0.344 0.024 0.287
6 Ga 0.138 0.580 0.144
7 Ga 0.862 0.420 0.856
8 Ga 0.656 0.976 0.713
9 Ga 0.344 0.287 0.024
10 Ga 0.138 0.144 0.580
11 Ga 0.000 0.500 0.500
12 Ga 0.656 0.713 0.976
13 Pd 0.500 0.686 0.314
14 Pd 0.500 0.314 0.686

---

No. 5
Density functional theory data (PBE) for LiMgZr2 after structural relaxation.

Crystal system: monoclinic
Symmetry: Cm
ΔE_f (meV per atom): 131

Unit cell a=5.581 b=5.581 c=5.434 alpha=68.25 beta=68.25 gamma=32.81
Fractional positions:
1 Li 0.504 0.504 0.442
2 Zr 0.758 0.758 0.795
3 Zr 0.003 0.003 0.950
4 Mg 0.236 0.236 0.313

---

No. 6
Density functional theory data (PBE) for La3Tb2TmS6 after structural relaxation.

Formation energy (no corrections) (eV per formula unit): -25.0
Crystal system: monoclinic
Symmetry: C2/m

Unit cell a=6.924 b=6.924 c=7.065 alpha=99.41 beta=99.41 gamma=120.12
Fractional positions:
1 S 0.596 0.924 0.772
2 S 0.076 0.404 0.228
3 S 0.924 0.596 0.772
4 S 0.748 0.748 0.230
5 S 0.252 0.252 0.770
6 S 0.404 0.076 0.228
7 Tm 0.000 0.000 0.000
8 La 0.169 0.831 0.500
9 La 0.500 0.500 0.500
10 La 0.831 0.169 0.500
11 Tb 0.333 0.667 0.000
12 Tb 0.667 0.333 0.000

---

No. 7
Density functional theory data (PBE) for CuAgP2O6 after structural relaxation.

Formation energy (no corrections) (eV per formula unit): -15.4
Crystal system: monoclinic
Symmetry: C2/c

Unit cell a=4.722 b=8.220 c=8.220 alpha=86.36 beta=74.77 gamma=74.77
Site moments in Bohr magnetons follow the coordinates.
Fractional positions:
1 O 0.505 0.642 0.708  0.00
2 O 0.173 0.945 0.755  0.00
3 O 0.673 0.755 0.945  0.00
4 O 0.005 0.708 0.642  0.00
5 O 0.910 0.454 0.824  0.01
6 O 0.995 0.292 0.358  0.00
7 O 0.590 0.176 0.546  0.01
8 O 0.495 0.358 0.292  0.00
9 O 0.827 0.055 0.245  0.00
10 O 0.090 0.546 0.176  0.01
11 O 0.327 0.245 0.055  0.00
12 O 0.410 0.824 0.454  0.01
13 Cu 0.750 0.695 0.305  0.13
14 Cu 0.250 0.305 0.695  0.13
15 Ag 0.250 0.864 0.136  0.01
16 Ag 0.750 0.136 0.864  0.01
17 P 0.774 0.638 0.797  0.00
18 P 0.726 0.203 0.362  0.00
19 P 0.274 0.797 0.638  0.00
20 P 0.226 0.362 0.203  0.00

---

No. 8
Density functional theory data (PBE) for HfPaP2 after structural relaxation.

Crystal system: trigonal
Symmetry: R-3m
ΔE_f (meV per atom): -211

Unit cell a=3.936 b=3.936 c=8.321 alpha=76.32 beta=76.32 gamma=60.00
Fractional positions:
1 Pa 0.500 0.500 0.500
2 P 0.896 0.896 0.311
3 P 0.104 0.104 0.689
4 Hf 0.000 0.000 0.000